# Ce4Cr (PBE-GGA, relaxed)
data_Ce4Cr
_chemical_formula_sum 'Ce4 Cr1'
_space_group_name_H-M_alt 'P m -3 m'
_space_group_IT_number 221
_space_group_name_Hall '-P 4 2 3'
_cell_length_a 5.153
_cell_length_b 5.153
_cell_length_c 5.153
_cell_angle_alpha 90.00
_cell_angle_beta 90.00
_cell_angle_gamma 90.00
loop_
_atom_site_label
_atom_site_fract_x
_atom_site_fract_y
_atom_site_fract_z
_atom_site_occupancy
Ce1 0.000 0.000 0.000 1
Ce2 0.000 0.500 0.500 1
Cr1 0.500 0.500 0.500 1
# Uncorrected energy (eV per atom): -6.32
# ΔE_f (eV/atom): 0.35
# Size of the total moment (μB per atom): 0.3797

***

# SnAs2SeO (PBE-GGA, relaxed)
data_SnAs2SeO
_chemical_formula_sum 'Sn1 As2 Se1 O1'
_space_group_name_H-M_alt 'P 4/m m m'
_space_group_IT_number 123
_space_group_name_Hall '-P 4 2'
_cell_length_a 5.300
_cell_length_b 5.300
_cell_length_c 5.158
_cell_angle_alpha 90.00
_cell_angle_beta 90.00
_cell_angle_gamma 90.00
loop_
_atom_site_label
_atom_site_fract_x
_atom_site_fract_y
_atom_site_fract_z
_atom_site_occupancy
Sn1 0.000 0.000 0.000 1
As1 0.000 0.500 0.000 1
Se1 0.000 0.000 0.500 1
O1 0.500 0.500 0.500 1
# Uncorrected energy (eV per atom): -2.99
# Polymorph energy (0 for the lowest one) (meV/atom): 1169
# Size of the total moment (μB per atom): 0.1152
# Formation energy from raw total energies (eV/atom): 1.357